# CaPr2Nd5 PBE-GGA relaxed
data_CaPr2Nd5
_chemical_formula_sum 'Ca2 Pr4 Nd10'
_cell_length_a 9.793
_cell_length_b 9.793
_cell_length_c 6.954
_cell_angle_alpha 101.09
_cell_angle_beta 101.09
_cell_angle_gamma 62.80
_symmetry_space_group_name_H-M 'P 1'
_symmetry_Int_Tables_number 1
loop_
_symmetry_equiv_pos_as_xyz
'x,y,z'
loop_
_atom_site_label
_atom_site_type_symbol
_atom_site_fract_x
_atom_site_fract_y
_atom_site_fract_z
Ca1 Ca 0.000 0.500 0.000
Ca2 Ca 0.500 0.000 0.500
Pr1 Pr 0.161 0.665 0.835
Pr2 Pr 0.335 0.839 0.665
Pr3 Pr 0.665 0.161 0.335
Pr4 Pr 0.839 0.335 0.165
Nd1 Nd 0.009 0.182 0.657
Nd2 Nd 0.182 0.009 0.157
Nd3 Nd 0.212 0.378 0.454
Nd4 Nd 0.378 0.212 0.954
Nd5 Nd 0.425 0.575 0.250
Nd6 Nd 0.575 0.425 0.750
Nd7 Nd 0.622 0.788 0.046
Nd8 Nd 0.788 0.622 0.546
Nd9 Nd 0.818 0.991 0.843
Nd10 Nd 0.991 0.818 0.343
# E: -34.2 eV/f.u.